A relaxed structure of AlTcBi2O6. Source: Alexandria, functional PBE.

Unit cell a=5.416 b=7.820 c=5.873 alpha=90.00 beta=90.00 gamma=90.00
Space group Pmmn (No. 59, origin choice 2)
Asymmetric unit:
Al1 0.250 0.250 0.248
Tc1 0.250 0.750 0.263
Bi1 0.250 0.542 0.776
O1 0.017 0.750 0.543
O2 0.017 0.750 0.977
O3 0.250 0.007 0.222

Calculated values
The calculation puts the uncorrected formation energy at -1.47 eV per atom. The calculation puts the total magnetization at 4.05 Bohr magnetons per cell.